A relaxed structure of La2MoCl, computed with PBE-GGA.

a = 8.6766 Å, b = 8.6766 Å, c = 8.6766 Å
α = 156.35°, β = 155.46°, γ = 34.34°
With the nearest neighbours (Å) after each atom.
Atoms (fractional coordinates):
La  0.0000  0.0000  0.0000  2 Mo 2.71
La  0.7746  0.2746  0.5000  4 Mo 3.10, 2 Cl 3.18
Mo  0.3800  0.8800  0.5000  2 La 2.71
Cl  0.6157  0.6157  0.0000  6 La 3.18-3.20, 2 Cl 3.56

Calculated values
- V: 108.7 Å³ per cell
- Space-group type: Imm2, No. 44
- Formation energy without anion corrections: -362 meV/atom
- N(E_F): 0.9499 states/eV per atom